NaGaAu2 | PBE | relaxed

Properties
The space-group type is No. 62.

Cell lengths 5.751, 7.265, 7.789 Å; angles 90.00, 90.00, 90.00 degrees
Fractional coordinates of all 16 atoms:
Au 0.098 0.946 0.825
Ga 0.373 0.750 0.624
Au 0.902 0.054 0.175
Na 0.627 0.750 0.975
Au 0.598 0.446 0.675
Na 0.873 0.750 0.475
Ga 0.627 0.250 0.376
Na 0.373 0.250 0.025
Na 0.127 0.250 0.525
Au 0.902 0.446 0.175
Au 0.098 0.554 0.825
Au 0.402 0.554 0.325
Au 0.402 0.946 0.325
Ga 0.127 0.750 0.124
Au 0.598 0.054 0.675
Ga 0.873 0.250 0.876

InFeSb2 | PBE | relaxed

Properties
The space-group type is No. 44.

Cell lengths 9.233, 9.233, 9.233 Å; angles 159.95, 159.13, 29.09 degrees
Site moments in Bohr magnetons follow the coordinates.
Fractional coordinates of all 4 atoms:
In 0.315 0.815 0.500  0.00
Sb 0.977 0.977 0.000  -0.05
Fe 0.547 0.547 0.000  1.61
Sb 0.661 0.161 0.500  -0.02

Number 1: VASP energy -0.225 Ry per atom, total moment 0.000 μB/atom. Number 2: VASP energy -0.345 Ry per atom, total moment 0.379 μB/atom.